No. 1
This record from the Open Quantum Materials Database describes a relaxed NbWSe4 crystal. The functional is PBE-GGA.

The calculated volume is 244.7 Å³/f.u. As for the crystal system: orthorhombic. For the uncorrected energy, the calculation gives -6.85 eV per atom.

Unit cell a=24.5667 b=3.3915 c=3.3915 alpha=59.99 beta=90.00 gamma=90.00
Positions (direct):
Se 0.5673 0.7581 0.7581
Se 0.4327 0.7581 0.7581
Se 0.9304 0.2581 0.2581
Se 0.0696 0.2581 0.2581
W 0.5000 0.4248 0.4248
Nb 0.0000 0.9248 0.9248

=====

No. 2
This record from the Open Quantum Materials Database describes a relaxed NpIn3Cl6 crystal. The functional is PBE-GGA.

The calculated volume is 327.5 Å³/f.u. As for the crystal system: monoclinic. For the uncorrected energy, the calculation gives -4.41 eV per atom.

Unit cell a=7.3588 b=8.3120 c=12.5739 alpha=90.00 beta=121.60 gamma=90.00
Positions (direct):
Cl 0.2379 0.7753 0.5806
Cl 0.0913 0.0708 0.2350
Cl 0.3553 0.3361 0.5434
Cl 0.9087 0.5708 0.2650
Cl 0.6447 0.8361 0.9566
Cl 0.7621 0.2247 0.4194
Cl 0.0913 0.4292 0.7350
Cl 0.2379 0.7247 0.0806
Cl 0.6447 0.6639 0.4566
Cl 0.7621 0.2753 0.9194
Cl 0.3553 0.1639 0.0434
Cl 0.9087 0.9292 0.7650
In 0.5000 0.5000 0.0000
In 0.2943 0.0727 0.7669
In 0.5000 0.0000 0.5000
In 0.7057 0.5727 0.7331
In 0.2943 0.4273 0.2669
In 0.7057 0.9273 0.2331
Np 0.0000 0.0000 0.0000
Np 0.0000 0.5000 0.5000

=====

No. 3
This record from the Open Quantum Materials Database describes a relaxed Zr4Ta2Co3N3 crystal. The functional is PBE-GGA.

The calculated volume is 170.1 Å³/f.u. As for the crystal system: monoclinic. For the uncorrected energy, the calculation gives -9.39 eV per atom.

Unit cell a=5.5208 b=5.5208 c=13.3374 alpha=102.12 beta=102.12 gamma=59.58
Positions (direct):
Co 0.4150 0.3131 0.7507
Co 0.8736 0.1264 0.2500
Co 0.6869 0.5850 0.7493
Co 0.1264 0.8736 0.7500
Co 0.3131 0.4150 0.2507
Co 0.5850 0.6869 0.2493
N 0.6652 0.1693 0.4999
N 0.8307 0.3348 0.0001
N 0.3348 0.8307 0.5001
N 0.1693 0.6652 0.9999
N 0.0000 0.5000 0.5000
N 0.5000 0.0000 0.0000
Ta 0.4705 0.6398 0.9109
Ta 0.3602 0.5295 0.5891
Ta 0.5295 0.3602 0.0891
Ta 0.6398 0.4705 0.4109
Zr 0.9599 0.8008 0.3906
Zr 0.8725 0.7036 0.1094
Zr 0.7036 0.8725 0.6094
Zr 0.8008 0.9599 0.8906
Zr 0.1992 0.0401 0.1094
Zr 0.1275 0.2964 0.8906
Zr 0.0401 0.1992 0.6094
Zr 0.2964 0.1275 0.3906

=====

No. 4
This record from the Open Quantum Materials Database describes a relaxed GdEr2NiIr2Pb3 crystal. The functional is PBE-GGA.

The calculated volume is 195.0 Å³/f.u. As for the crystal system: orthorhombic. For the uncorrected energy, the calculation gives -5.90 eV per atom.

Unit cell a=3.7497 b=7.7575 c=7.7575 alpha=120.22 beta=90.00 gamma=90.00
Positions (direct):
Gd 0.0000 0.4084 0.4084
Ni 0.0000 0.9985 0.9985
Er 0.0000 0.5917 0.0000
Er 0.0000 0.0000 0.5917
Ir 0.5000 0.3324 0.6695
Ir 0.5000 0.6695 0.3324
Pb 0.5000 0.9993 0.2578
Pb 0.5000 0.7424 0.7424
Pb 0.5000 0.2578 0.9993

=====

no.,density (g/cm³),spin magnetization (μB per formula unit)
1,4.02,0.020
2,4.03,4.000
3,9.23,0.959
4,13.26,0.000